First-principles (meta-GGA SCAN) data for MnAu3 at its PBEsol-relaxed geometry, as listed in Alexandria via LeMat-Bulk.

Lattice parameters (Å, degrees): 4.6551 5.6883 5.6883 120.00 90.00 90.00
Closest atoms and distances in Å follow each position.
Atoms (fractional coordinates):
Au1 0.2500 0.8312 0.1688  8 Au 2.81-2.88, 4 Mn 2.84
Au2 0.7500 0.1688 0.8312  8 Au 2.81-2.88, 4 Mn 2.84
Au3 0.2500 0.3375 0.1688  8 Au 2.81-2.88, 4 Mn 2.84
Au4 0.7500 0.1688 0.3375  8 Au 2.81-2.88, 4 Mn 2.84
Au5 0.7500 0.6625 0.8312  8 Au 2.81-2.88, 4 Mn 2.84
Au6 0.2500 0.8312 0.6625  8 Au 2.81-2.88, 4 Mn 2.84
Mn1 0.2500 0.3333 0.6667  12 Au 2.84
Mn2 0.7500 0.6667 0.3333  12 Au 2.84

Computed properties:
The calculation puts the volume at 65.2 Å³/f.u. The value obtained for the total energy is -56.74 eV/atom.

***

First-principles (meta-GGA SCAN) data for MnAu3 at its PBEsol-relaxed geometry, as listed in Alexandria via LeMat-Bulk.

Lattice parameters (Å, degrees): 4.0374 4.0374 8.4999 103.74 103.74 90.00
Closest atoms and distances in Å follow each position.
Atoms (fractional coordinates):
Au1 0.8763 0.8763 0.7526  8 Au 2.83-2.86, 4 Mn 2.86
Au2 0.5000 0.0000 0.0000  8 Au 2.83-2.85, 4 Mn 2.87
Au3 0.0000 0.5000 0.0000  8 Au 2.83-2.85, 4 Mn 2.87
Au4 0.2500 0.7500 0.5000  4 Mn 2.82, 8 Au 2.85-2.86
Au5 0.1237 0.1237 0.2474  8 Au 2.83-2.86, 4 Mn 2.86
Au6 0.7500 0.2500 0.5000  4 Mn 2.82, 8 Au 2.85-2.86
Mn1 0.6270 0.6270 0.2540  12 Au 2.82-2.87
Mn2 0.3730 0.3730 0.7460  12 Au 2.82-2.87

Computed properties:
The calculation puts the volume at 65.3 Å³/f.u. The value obtained for the total energy is -56.74 eV/atom.

***

First-principles (meta-GGA SCAN) data for Mn3Au at its PBEsol-relaxed geometry, as listed in Alexandria via LeMat-Bulk.

Lattice parameters (Å, degrees): 3.8403 3.8403 3.8403 90.00 90.00 90.00
Closest atoms and distances in Å follow each position.
Atoms (fractional coordinates):
Mn1 0.0000 0.5000 0.5000  8 Mn 2.72, 4 Au 2.72
Mn2 0.5000 0.5000 0.0000  8 Mn 2.72, 4 Au 2.72
Mn3 0.5000 0.0000 0.5000  8 Mn 2.72, 4 Au 2.72
Au1 0.0000 0.0000 0.0000  12 Mn 2.72

Computed properties:
The calculation puts the volume at 56.6 Å³/f.u. The value obtained for the total energy is -31.21 eV/atom.

***

First-principles (meta-GGA SCAN) data for MnAu at its PBEsol-relaxed geometry, as listed in Alexandria via LeMat-Bulk.

Lattice parameters (Å, degrees): 2.7269 2.7269 8.6486 90.00 90.00 120.00
Closest atoms and distances in Å follow each position.
Atoms (fractional coordinates):
Mn1 0.6667 0.3333 0.5920  3 Mn 2.24
Mn2 0.3333 0.6667 0.4080  3 Mn 2.24
Au1 0.6667 0.3333 0.1493  9 Au 2.73-3.02, 3 Mn 2.74
Au2 0.3333 0.6667 0.8507  9 Au 2.73-3.02, 3 Mn 2.74

Computed properties:
The calculation puts the volume at 27.8 Å³/f.u. The value obtained for the total energy is -43.39 eV/atom.

***

First-principles (meta-GGA SCAN) data for MnAu5 at its PBEsol-relaxed geometry, as listed in Alexandria via LeMat-Bulk.

Lattice parameters (Å, degrees): 2.8930 2.8930 11.7961 90.00 90.00 90.00
Closest atoms and distances in Å follow each position.
Atoms (fractional coordinates):
Au1 0.0000 0.0000 0.3480  4 Mn 2.72, 8 Au 2.89-2.91
Au2 0.0000 0.0000 0.6520  4 Mn 2.72, 8 Au 2.89-2.91
Au3 0.5000 0.5000 0.1722  12 Au 2.88-2.91
Au4 0.0000 0.0000 0.0000  12 Au 2.88-2.89
Au5 0.5000 0.5000 0.8278  12 Au 2.88-2.91
Mn1 0.5000 0.5000 0.5000  8 Au 2.72, 4 Mn 2.89

Computed properties:
The calculation puts the volume at 98.7 Å³/f.u. The value obtained for the total energy is -60.85 eV/atom.

***

First-principles (meta-GGA SCAN) data for MnAu3 at its PBEsol-relaxed geometry, as listed in Alexandria via LeMat-Bulk.

Lattice parameters (Å, degrees): 3.1159 4.6660 4.8928 103.85 108.57 90.00
Closest atoms and distances in Å follow each position.
Atoms (fractional coordinates):
Mn1 0.0000 0.5000 0.0000  10 Au 2.73-2.89
Au1 0.7419 0.7413 0.4838  3 Mn 2.73-2.89, 7 Au 2.77-2.86
Au2 0.5000 0.0000 0.0000  8 Au 2.80-3.12, 4 Mn 2.81
Au3 0.2581 0.2587 0.5162  3 Mn 2.73-2.89, 7 Au 2.77-2.86

Computed properties:
The calculation puts the volume at 65.2 Å³/f.u. The value obtained for the total energy is -56.70 eV/atom.

***

First-principles (meta-GGA SCAN) data for MnAu at its PBEsol-relaxed geometry, as listed in Alexandria via LeMat-Bulk.

Lattice parameters (Å, degrees): 3.8840 3.8840 5.6487 90.00 90.00 120.00
Closest atoms and distances in Å follow each position.
Atoms (fractional coordinates):
Mn1 0.3333 0.6667 0.2500  6 Au 2.65
Mn2 0.6667 0.3333 0.7500  6 Au 2.65
Au1 0.0000 0.0000 0.0000  6 Mn 2.65, 2 Au 2.82
Au2 0.0000 0.0000 0.5000  6 Mn 2.65, 2 Au 2.82

Computed properties:
The calculation puts the volume at 36.9 Å³/f.u. The value obtained for the total energy is -43.94 eV/atom.

***

First-principles (meta-GGA SCAN) data for Mn2ReMoAu at its PBEsol-relaxed geometry, as listed in Alexandria via LeMat-Bulk.

Lattice parameters (Å, degrees): 4.4576 4.4576 4.6083 90.00 90.00 90.00
Closest atoms and distances in Å follow each position.
Atoms (fractional coordinates):
Mn1 0.5000 0.0000 0.0000  2 Mo 2.23
Mn2 0.0000 0.5000 0.0000  2 Mo 2.23
Re1 0.0000 0.0000 0.5000  2 Mo 2.30
Au1 0.5000 0.5000 0.5000  4 Re 3.15, 8 Mn 3.21
Mo1 0.0000 0.0000 0.0000  4 Mn 2.23, 2 Re 2.30

Computed properties:
The calculation puts the volume at 91.6 Å³/f.u. The value obtained for the total energy is -40.90 eV/atom.

***

First-principles (meta-GGA SCAN) data for MnZnMoAu2 at its PBEsol-relaxed geometry, as listed in Alexandria via LeMat-Bulk.

Lattice parameters (Å, degrees): 4.6095 4.6095 4.6496 90.00 90.00 90.00
Closest atoms and distances in Å follow each position.
Atoms (fractional coordinates):
Mn1 0.5000 0.5000 0.5000  4 Mo 3.26, 8 Au 3.27
Zn1 0.0000 0.0000 0.0000  4 Au 2.30, 2 Mo 2.32
Au1 0.5000 0.0000 0.0000  2 Zn 2.30
Au2 0.0000 0.5000 0.0000  2 Zn 2.30
Mo1 0.0000 0.0000 0.5000  2 Zn 2.32

Computed properties:
The calculation puts the volume at 98.8 Å³/f.u. The value obtained for the total energy is -40.13 eV/atom.

***

First-principles (meta-GGA SCAN) data for MnAuN2 at its PBEsol-relaxed geometry, as listed in Alexandria via LeMat-Bulk.

Lattice parameters (Å, degrees): 3.8749 3.8749 3.8749 60.00 60.00 60.00
Closest atoms and distances in Å follow each position.
Atoms (fractional coordinates):
N1 0.2500 0.2500 0.2500  4 Au 2.37, 4 Mn 2.37
N2 0.7500 0.7500 0.7500  4 Mn 2.37, 4 Au 2.37
Au1 0.5000 0.5000 0.5000  8 N 2.37
Mn1 0.0000 0.0000 0.0000  8 N 2.37

Computed properties:
The calculation puts the volume at 41.1 Å³/f.u. For the energy relative to the elements, uncorrected, the calculation gives 1186 meV per atom. Its energy relative to the lowest polymorph listed for this composition is 7.15 kcal/mol of atoms.

***

First-principles (meta-GGA SCAN) data for MnAuN2 at its PBEsol-relaxed geometry, as listed in Alexandria via LeMat-Bulk.

Lattice parameters (Å, degrees): 3.1642 3.1642 6.1020 74.97 74.97 60.00
Closest atoms and distances in Å follow each position.
Atoms (fractional coordinates):
Au1 0.5000 0.5000 0.5000  6 N 2.10
N1 0.8932 0.8932 0.3205  1 Mn 1.87
N2 0.1068 0.1068 0.6795  1 Mn 1.87
Mn1 0.0000 0.0000 0.0000  2 N 1.87

Computed properties:
The calculation puts the volume at 50.5 Å³/f.u. For the energy relative to the elements, uncorrected, the calculation gives 875 meV per atom. Its energy relative to the lowest polymorph listed for this composition is 0.00 kcal/mol of atoms.

***

First-principles (meta-GGA SCAN) data for MnAuSe2N at its PBEsol-relaxed geometry, as listed in Alexandria via LeMat-Bulk.

Lattice parameters (Å, degrees): 3.6996 5.2037 5.2037 90.00 90.00 90.00
Closest atoms and distances in Å follow each position.
Atoms (fractional coordinates):
N1 0.5000 0.0000 0.0000  2 Au 1.85
Mn1 0.5000 0.5000 0.5000  8 Se 3.19
Au1 0.0000 0.0000 0.0000  2 N 1.85
Se1 0.0000 0.0000 0.5000  2 Au 2.60
Se2 0.0000 0.5000 0.0000  2 Au 2.60

Computed properties:
The calculation puts the volume at 100.2 Å³/f.u. For the energy relative to the elements, uncorrected, the calculation gives 735 meV per atom. Its energy relative to the lowest polymorph listed for this composition is 9.77 kcal/mol of atoms.

***

First-principles (meta-GGA SCAN) data for MnAuSe2N at its PBEsol-relaxed geometry, as listed in Alexandria via LeMat-Bulk.

Lattice parameters (Å, degrees): 3.3918 4.8445 4.8445 90.00 90.00 90.00
Closest atoms and distances in Å follow each position.
Atoms (fractional coordinates):
N1 0.5000 0.0000 0.0000  2 Mn 1.70
Mn1 0.0000 0.0000 0.0000  2 N 1.70
Au1 0.5000 0.5000 0.5000  8 Se 2.96
Se1 0.0000 0.5000 0.0000  2 Mn 2.42
Se2 0.0000 0.0000 0.5000  2 Mn 2.42

Computed properties:
The calculation puts the volume at 79.6 Å³/f.u. For the energy relative to the elements, uncorrected, the calculation gives 312 meV per atom. Its energy relative to the lowest polymorph listed for this composition is 0.00 kcal/mol of atoms.

***

First-principles (meta-GGA SCAN) data for MnNbOs2Au at its PBEsol-relaxed geometry, as listed in Alexandria via LeMat-Bulk.

Lattice parameters (Å, degrees): 4.5335 4.6780 4.6780 90.00 90.00 90.00
Closest atoms and distances in Å follow each position.
Atoms (fractional coordinates):
Os1 0.0000 0.5000 0.0000  2 Nb 2.34
Os2 0.0000 0.0000 0.5000  2 Nb 2.34
Nb1 0.0000 0.0000 0.0000  2 Mn 2.27, 4 Os 2.34
Au1 0.5000 0.5000 0.5000  8 Os 3.26, 4 Mn 3.31
Mn1 0.5000 0.0000 0.0000  2 Nb 2.27

Computed properties:
The calculation puts the volume at 99.2 Å³/f.u. The value obtained for the total energy is -50.93 eV/atom.

***

First-principles (meta-GGA SCAN) data for MnNiAu2 at its PBEsol-relaxed geometry, as listed in Alexandria via LeMat-Bulk.

Lattice parameters (Å, degrees): 3.8254 3.8254 4.7779 113.60 113.60 90.00
Closest atoms and distances in Å follow each position.
Atoms (fractional coordinates):
Au1 0.0000 0.0000 0.0000  4 Mn 2.70, 4 Ni 2.75, 4 Au 2.75
Au2 0.7500 0.2500 0.5000  4 Ni 2.70, 4 Mn 2.75, 4 Au 2.75
Mn1 0.5000 0.5000 0.0000  8 Au 2.70-2.75, 4 Ni 2.75
Ni1 0.2500 0.7500 0.5000  8 Au 2.70-2.75, 4 Mn 2.75

Computed properties:
The calculation puts the volume at 57.6 Å³/f.u. The value obtained for the total energy is -43.46 eV/atom.